First-principles (PBE-GGA) data for ReTcTe2 after structural relaxation, as listed in the Alexandria database.

Computed properties:
**Polymorph energy (0 for the lowest one)**: 734.7 meV per atom
**Symmetry**: I-4m2
**VASP energy**: -25.23 eV for the cell shown
**Fermi-level density of states**: 1.07 states/eV/atom

Cell: 5.5252 5.5252 5.5252 Å, 137.88 137.88 61.09°
Last column: nearest neighbours and their distance in Å.
Positions (direct):
Re 0.0000 0.0000 0.0000  8 Te 2.81-3.10, 4 Tc 3.10
Tc 0.2500 0.7500 0.5000  8 Te 2.81-3.10, 4 Re 3.10
Te 0.5000 0.5000 0.0000  4 Re 2.81, 4 Tc 3.10, 4 Te 3.10
Te 0.7500 0.2500 0.5000  4 Tc 2.81, 4 Re 3.10, 4 Te 3.10

---

First-principles (PBE-GGA) data for ReTc3Te after structural relaxation, as listed in the Alexandria database.

Computed properties:
**Polymorph energy (0 for the lowest one)**: 0.0 meV per atom
**Symmetry**: Pm-3m
**VASP energy**: -38.67 eV for the cell shown
**Fermi-level density of states**: 1.24 states/eV/atom

Cell: 4.7281 4.7281 4.7281 Å, 90.00 90.00 90.00°
Last column: nearest neighbours and their distance in Å.
Positions (direct):
Re 0.0000 0.0000 0.0000  6 Tc 2.36
Tc 0.0000 0.0000 0.5000  2 Re 2.36
Tc 0.0000 0.5000 0.0000  2 Re 2.36
Tc 0.5000 0.0000 0.0000  2 Re 2.36
Te 0.5000 0.5000 0.5000  12 Tc 3.34

---

First-principles (PBE-GGA) data for ReTcTe2 after structural relaxation, as listed in the Alexandria database.

Computed properties:
**Polymorph energy (0 for the lowest one)**: 640.0 meV per atom
**Symmetry**: I-42d
**VASP energy**: -51.21 eV for the cell shown
**Fermi-level density of states**: 0.92 states/eV/atom

Cell: 7.2839 7.2839 7.2839 Å, 131.67 131.67 70.76°
Last column: nearest neighbours and their distance in Å.
Positions (direct):
Re 0.0000 0.0000 0.0000  4 Te 2.58
Re 0.7500 0.2500 0.5000  4 Te 2.58
Tc 0.2500 0.7500 0.5000  4 Te 2.58
Tc 0.5000 0.5000 0.0000  4 Te 2.58
Te 0.1241 0.6250 0.9991  2 Re 2.58, 2 Tc 2.58
Te 0.3750 0.3741 0.4991  2 Re 2.58, 2 Tc 2.58
Te 0.6259 0.1250 0.0009  2 Re 2.58, 2 Tc 2.58
Te 0.8750 0.8759 0.5009  2 Re 2.58, 2 Tc 2.58

---

First-principles (PBE-GGA) data for ReTc2Te after structural relaxation, as listed in the Alexandria database.

Computed properties:
**Symmetry**: P2/m
**VASP energy**: -34.38 eV for the cell shown
**Fermi-level density of states**: 0.83 states/eV/atom

Cell: 2.9755 3.9492 5.6282 Å, 90.00 95.49 90.00°
Last column: nearest neighbours and their distance in Å.
Positions (direct):
Re 0.0000 0.0000 0.0000  8 Tc 2.76-2.80, 2 Te 2.81, 2 Re 2.98
Tc 0.4744 0.5000 0.7731  1 Tc 2.54, 4 Re 2.76-2.80, 2 Te 2.80
Tc 0.5256 0.5000 0.2269  1 Tc 2.54, 4 Re 2.76-2.80, 2 Te 2.80
Te 0.0000 0.0000 0.5000  8 Tc 2.80-3.03, 2 Re 2.81, 2 Te 2.98

---

First-principles (PBE-GGA) data for ReTc2Te after structural relaxation, as listed in the Alexandria database.

Computed properties:
**Symmetry**: I-42d
**VASP energy**: -65.31 eV for the cell shown
**Fermi-level density of states**: 0.61 states/eV/atom

Cell: 7.0544 7.0544 7.0544 Å, 131.69 131.69 70.72°
Last column: nearest neighbours and their distance in Å.
Positions (direct):
Re 0.0000 0.0000 0.0000  4 Tc 2.40
Re 0.7500 0.2500 0.5000  4 Tc 2.40
Tc 0.0961 0.6250 0.9711  2 Re 2.40, 2 Te 2.60
Tc 0.3750 0.3461 0.4711  2 Re 2.40, 2 Te 2.60
Tc 0.6539 0.1250 0.0289  2 Re 2.40, 2 Te 2.60
Tc 0.8750 0.9039 0.5289  2 Re 2.40, 2 Te 2.60
Te 0.2500 0.7500 0.5000  4 Tc 2.60
Te 0.5000 0.5000 0.0000  4 Tc 2.60

---

First-principles (PBE-GGA) data for YRe2TcTe after structural relaxation, as listed in the Alexandria database.

Computed properties:
**Symmetry**: P4/mmm
**VASP energy**: -31.13 eV for the cell shown
**Fermi-level density of states**: 1.16 states/eV/atom

Cell: 4.9231 4.9231 4.8270 Å, 90.00 90.00 90.00°
Last column: nearest neighbours and their distance in Å.
Positions (direct):
Y 0.0000 0.0000 0.0000  2 Tc 2.41, 4 Re 2.46
Re 0.0000 0.5000 0.0000  2 Y 2.46
Re 0.5000 0.0000 0.0000  2 Y 2.46
Tc 0.0000 0.0000 0.5000  2 Y 2.41
Te 0.5000 0.5000 0.5000  8 Re 3.45, 4 Tc 3.48

---

First-principles (PBE-GGA) data for ZrReTc2Te after structural relaxation, as listed in the Alexandria database.

Computed properties:
**Symmetry**: P4/mmm
**VASP energy**: -38.71 eV for the cell shown
**Fermi-level density of states**: 1.01 states/eV/atom

Cell: 4.7225 4.7225 5.0053 Å, 90.00 90.00 90.00°
Last column: nearest neighbours and their distance in Å.
Positions (direct):
Zr 0.0000 0.0000 0.0000  4 Te 3.34, 8 Tc 3.44
Re 0.5000 0.5000 0.5000  4 Tc 2.36, 2 Te 2.50
Tc 0.0000 0.5000 0.5000  2 Re 2.36
Tc 0.5000 0.0000 0.5000  2 Re 2.36
Te 0.5000 0.5000 0.0000  2 Re 2.50

---

First-principles (PBE-GGA) data for Th4ReTc after structural relaxation, as listed in the Alexandria database.

Computed properties:
**Formation energy from the elements**: -0.09 eV/atom
**Symmetry**: C2/c
**VASP energy**: -106.12 eV for the cell shown
**Fermi-level density of states**: 1.05 states/eV/atom

Cell: 8.1624 8.1624 6.3641 Å, 108.23 108.23 112.10°
Last column: nearest neighbours and their distance in Å.
Positions (direct):
Th 0.0486 0.6888 0.9007  2 Re 3.00-3.13, 2 Tc 3.07-3.08
Th 0.2365 0.3704 0.7298  2 Tc 2.88-2.99, 2 Re 2.89-3.22
Th 0.3112 0.9514 0.5993  2 Re 3.00-3.13, 2 Tc 3.07-3.08
Th 0.3704 0.2365 0.2298  2 Tc 2.88-2.99, 2 Re 2.89-3.22
Th 0.6296 0.7635 0.7702  2 Tc 2.88-2.99, 2 Re 2.89-3.22
Th 0.6888 0.0486 0.4007  2 Re 3.00-3.13, 2 Tc 3.07-3.08
Th 0.7635 0.6296 0.2702  2 Tc 2.88-2.99, 2 Re 2.89-3.22
Th 0.9514 0.3112 0.0993  2 Re 3.00-3.13, 2 Tc 3.07-3.08
Re 0.3665 0.6335 0.2500  8 Th 2.89-3.22
Re 0.6335 0.3665 0.7500  8 Th 2.89-3.22
Tc 0.0016 0.9984 0.7500  8 Th 2.88-3.08, 2 Tc 3.18
Tc 0.9984 0.0016 0.2500  8 Th 2.88-3.08, 2 Tc 3.18